# 1
# CsNa3As, relaxed, DFT GGA-PBE
# Energy above the most stable polymorph in this dataset   0.0000 eV/atom
# VASP energy   -0.1558 Ry/atom
# Total magnetization   0.00 μB per atom
# Calculated formation energy   -0.2274 eV per atom
data_CsNa3As
_symmetry_space_group_name_H-M 'P 1'
_symmetry_Int_Tables_number 1
_cell_length_a 5.868
_cell_length_b 5.868
_cell_length_c 5.868
_cell_angle_alpha 90.00
_cell_angle_beta 90.00
_cell_angle_gamma 90.00
loop_
_symmetry_equiv_pos_as_xyz
'x,y,z'
loop_
_atom_site_label
_atom_site_fract_x
_atom_site_fract_y
_atom_site_fract_z
_atom_site_occupancy
Na1 0.000 0.500 0.000 1
Na2 0.000 0.000 0.500 1
Na3 0.500 0.000 0.000 1
As1 0.000 0.000 0.000 1
Cs1 0.500 0.500 0.500 1



# 2
# CsNaAs, relaxed, DFT GGA-PBE
# Energy above the most stable polymorph in this dataset   0.1996 eV/atom
# VASP energy   -0.1788 Ry/atom
# Total magnetization   0.03 μB per atom
# Calculated formation energy   -0.1585 eV per atom
data_CsNaAs
_symmetry_space_group_name_H-M 'P 1'
_symmetry_Int_Tables_number 1
_cell_length_a 4.008
_cell_length_b 5.466
_cell_length_c 5.466
_cell_angle_alpha 120.00
_cell_angle_beta 90.00
_cell_angle_gamma 90.00
loop_
_symmetry_equiv_pos_as_xyz
'x,y,z'
loop_
_atom_site_label
_atom_site_fract_x
_atom_site_fract_y
_atom_site_fract_z
_atom_site_occupancy
Cs1 0.667 0.333 0.667 1
As1 0.167 0.000 0.000 1
Na1 0.167 0.667 0.333 1



# 3
# CsNaAs, relaxed, DFT GGA-PBE
# Energy above the most stable polymorph in this dataset   0.0824 eV/atom
# VASP energy   -0.1874 Ry/atom
# Total magnetization   0.00 μB per atom
# Calculated formation energy   -0.2757 eV per atom
data_CsNaAs
_symmetry_space_group_name_H-M 'P 1'
_symmetry_Int_Tables_number 1
_cell_length_a 4.932
_cell_length_b 10.187
_cell_length_c 14.978
_cell_angle_alpha 128.17
_cell_angle_beta 90.00
_cell_angle_gamma 104.01
loop_
_symmetry_equiv_pos_as_xyz
'x,y,z'
loop_
_atom_site_label
_atom_site_fract_x
_atom_site_fract_y
_atom_site_fract_z
_atom_site_occupancy
As1 0.805 0.610 0.218 1
As2 0.195 0.390 0.782 1
As3 0.275 0.549 0.489 1
As4 0.725 0.451 0.511 1
Na1 0.292 0.583 0.698 1
Na2 0.708 0.417 0.302 1
Na3 0.667 0.333 0.672 1
Na4 0.333 0.667 0.328 1
Cs1 0.045 0.090 0.391 1
Cs2 0.840 0.681 0.001 1
Cs3 0.955 0.910 0.609 1
Cs4 0.160 0.319 0.999 1



# 4
# Cs3Na2As4, relaxed, DFT GGA-PBE
# VASP energy   -0.2234 Ry/atom
# Total magnetization   0.00 μB per atom
# Calculated formation energy   -0.3951 eV per atom
data_Cs3Na2As4
_symmetry_space_group_name_H-M 'P 1'
_symmetry_Int_Tables_number 1
_cell_length_a 5.376
_cell_length_b 7.020
_cell_length_c 11.308
_cell_angle_alpha 61.75
_cell_angle_beta 72.06
_cell_angle_gamma 72.40
loop_
_symmetry_equiv_pos_as_xyz
'x,y,z'
loop_
_atom_site_label
_atom_site_fract_x
_atom_site_fract_y
_atom_site_fract_z
_atom_site_occupancy
Cs1 0.646 0.178 0.596 1
Cs2 0.000 0.000 0.000 1
Cs3 0.354 0.822 0.404 1
As1 0.199 0.441 0.294 1
As2 0.801 0.559 0.706 1
As3 0.366 0.358 0.091 1
As4 0.634 0.642 0.909 1
Na1 0.230 0.558 0.814 1
Na2 0.770 0.442 0.186 1



# 5
# CsNa5As2, relaxed, DFT GGA-PBE
# VASP energy   -0.1819 Ry/atom
# Total magnetization   0.00 μB per atom
# Calculated formation energy   -0.3817 eV per atom
data_CsNa5As2
_symmetry_space_group_name_H-M 'P 1'
_symmetry_Int_Tables_number 1
_cell_length_a 5.062
_cell_length_b 7.884
_cell_length_c 7.884
_cell_angle_alpha 69.42
_cell_angle_beta 71.28
_cell_angle_gamma 71.28
loop_
_symmetry_equiv_pos_as_xyz
'x,y,z'
loop_
_atom_site_label
_atom_site_fract_x
_atom_site_fract_y
_atom_site_fract_z
_atom_site_occupancy
Na1 0.695 0.482 0.128 1
Na2 0.695 0.128 0.482 1
Na3 0.000 0.500 0.500 1
Na4 0.305 0.518 0.872 1
Na5 0.305 0.872 0.518 1
As1 0.239 0.261 0.261 1
As2 0.761 0.739 0.739 1
Cs1 0.000 0.000 0.000 1



# 6
# Cs2NaAs, relaxed, DFT GGA-PBE
# VASP energy   -0.1456 Ry/atom
# Total magnetization   0.00 μB per atom
# Calculated formation energy   -0.0622 eV per atom
data_Cs2NaAs
_symmetry_space_group_name_H-M 'P 1'
_symmetry_Int_Tables_number 1
_cell_length_a 6.233
_cell_length_b 6.233
_cell_length_c 6.233
_cell_angle_alpha 60.00
_cell_angle_beta 60.00
_cell_angle_gamma 60.00
loop_
_symmetry_equiv_pos_as_xyz
'x,y,z'
loop_
_atom_site_label
_atom_site_fract_x
_atom_site_fract_y
_atom_site_fract_z
_atom_site_occupancy
Cs1 0.250 0.250 0.250 1
Cs2 0.750 0.750 0.750 1
Na1 0.000 0.000 0.000 1
As1 0.500 0.500 0.500 1